VASP calculation (PBE) on crystalline In2Hg7Pb at its relaxed geometry. Values from VASP.

The formation energy comes out at 39 kJ/mol of formula units. As for the space-group type: Cmmm (65). The total energy is -0.08003 Ry/atom.

Quantum ESPRESSO input file:
```
&SYSTEM
  ibrav = 0, nat = 10, ntyp = 3
/
ATOMIC_SPECIES
In 114.82 In.upf
Hg 200.59 Hg.upf
Pb 207.20 Pb.upf
CELL_PARAMETERS angstrom
-0.5004 2.7044 1.6819
2.1573 -5.1740 8.9611
7.3097 4.9616 -5.8032
ATOMIC_POSITIONS angstrom
In 3.6014 -0.4888 4.9470
In 5.3652 2.9809 -0.1072
Hg 3.1098 -3.3003 6.2316
Hg 6.3572 3.0879 -3.0738
Hg 2.4651 2.3054 0.1161
Hg 6.5016 0.1866 4.7237
Hg 1.4457 0.3001 3.0372
Hg 7.5210 2.1920 1.8026
Hg 4.4833 1.2460 2.4199
Pb 0.0000 0.0000 0.0000
```

VASP calculation (PBE) on crystalline In12Hg6Pb at its relaxed geometry. Values from VASP.

The formation energy comes out at 63 kJ/mol of formula units. As for the space-group type: R-3m (166). The total energy is -0.14593 Ry/atom.

Quantum ESPRESSO input file:
```
&SYSTEM
  ibrav = 0, nat = 19, ntyp = 3
/
ATOMIC_SPECIES
In 114.82 In.upf
Hg 200.59 Hg.upf
Pb 207.20 Pb.upf
CELL_PARAMETERS angstrom
-8.4804 -0.7233 -1.4099
3.7311 1.8355 -7.5590
2.8770 -7.7422 2.4918
ATOMIC_POSITIONS angstrom
In -2.4044 -4.3694 -0.8640
In 2.0424 -3.4386 -3.1021
In -2.0921 -0.8823 -4.5236
In 0.5321 -2.2607 -5.6131
In -3.9147 -3.1914 -3.3750
In 0.2199 -5.7477 -1.9535
In 3.6028 -4.0493 -6.0992
In 0.4998 1.1580 -5.9319
In 3.1027 -5.2080 -0.1680
In -5.4750 -2.5807 -0.3779
In -2.3721 -7.7880 -0.5452
In -4.9750 -1.4220 -6.3091
Hg 0.4531 -3.1001 -0.3890
Hg -2.5504 -6.0436 -3.4500
Hg 0.6551 -5.3726 -5.0634
Hg -2.3253 -3.5299 -6.0881
Hg 0.6782 -0.5864 -3.0271
Hg -2.5274 -1.2574 -1.4137
Pb 0.0000 0.0000 0.0000
```